# LiVP4O12 (GGA+U, relaxed)
data_LiVP4O12
_chemical_formula_sum 'Li2 V2 P8 O24'
_cell_length_a 5.3041
_cell_length_b 13.5015
_cell_length_c 7.3365
_cell_angle_alpha 90.00
_cell_angle_beta 99.36
_cell_angle_gamma 90.00
_space_group_name_H-M_alt 'P 1 21 1'
_space_group_IT_number 4
_space_group_name_Hall 'P 2yb'
loop_
_atom_site_label
_atom_site_type_symbol
_atom_site_fract_x
_atom_site_fract_y
_atom_site_fract_z
_atom_site_occupancy
Li1 Li 0.1729 0.0000 0.1280 1
V1 V 0.0212 0.6789 0.5845 1
P1 P 0.3007 0.7894 0.9588 1
P2 P 0.3479 0.1462 0.8185 1
P3 P 0.4711 0.3239 0.3789 1
P4 P 0.4862 0.5440 0.4986 1
O1 O 0.1118 0.1743 0.6840 1
O2 O 0.1542 0.8701 0.0297 1
O3 O 0.1628 0.7024 0.8552 1
O4 O 0.1966 0.3016 0.3921 1
O5 O 0.2341 0.5542 0.5676 1
O6 O 0.2768 0.0803 0.3748 1
O7 O 0.3197 0.0879 0.9837 1
O8 O 0.3283 0.7554 0.5243 1
O9 O 0.4568 0.5885 0.2958 1
O10 O 0.4584 0.9298 0.5303 1
O11 O 0.4982 0.8383 0.8328 1
O12 O 0.5000 0.2478 0.8693 1
# - magnetic moment (μB/f.u.) = 2.000
# - excess energy over the best structure of this formula in the dataset (meV/atom) = 10
# - DOS(E_F) (states/eV/atom) = 0.000